# Ca2Mg3WN6

Ca2Mg3WN6 after structural relaxation (GGA-PBE, the Alexandria database).

## Properties
Calculated total energy (eV/atom): -6.551
Raw formation energy (eV per atom): -0.58

Lattice parameters (Å, degrees): 5.699 5.699 5.443 100.23 100.23 120.07
Fractional coordinates of all 12 atoms:
1 Ca 0.168 0.832 0.000
2 Ca 0.832 0.168 0.000
3 Mg 0.000 0.000 0.500
4 Mg 0.337 0.663 0.500
5 Mg 0.663 0.337 0.500
6 W 0.500 0.500 0.000
7 N 0.124 0.417 0.751
8 N 0.288 0.288 0.236
9 N 0.417 0.124 0.751
10 N 0.583 0.876 0.249
11 N 0.712 0.712 0.764
12 N 0.876 0.583 0.249